Record 1
# GaPdO2 GGA-PBE optimized geometry
# crystal system = monoclinic
data_GaPdO2
_chemical_formula_sum 'Ga16 Pd16 O32'
_cell_length_a 8.989
_cell_length_b 9.887
_cell_length_c 10.544
_cell_angle_alpha 90.00
_cell_angle_beta 90.19
_cell_angle_gamma 90.00
_symmetry_space_group_name_H-M 'C 1 2/c 1'
_symmetry_Int_Tables_number 15
loop_
_symmetry_equiv_pos_as_xyz
'x,y,z'
'-x,-y,-z'
'-x,y,-z+1/2'
'x,-y,z+1/2'
'x+1/2,y+1/2,z'
'-x+1/2,-y+1/2,-z'
'-x+1/2,y+1/2,-z+1/2'
'x+1/2,-y+1/2,z+1/2'
loop_
_atom_site_label
_atom_site_type_symbol
_atom_site_fract_x
_atom_site_fract_y
_atom_site_fract_z
Ga1 Ga 0.135 0.154 0.131
Ga2 Ga 0.139 0.380 0.342
Pd1 Pd 0.090 0.236 0.896
Pd2 Pd 0.127 0.021 0.409
O1 O 0.000 0.063 0.250
O2 O 0.000 0.471 0.250
O3 O 0.046 0.240 0.443
O4 O 0.249 0.243 0.756
O5 O 0.249 0.492 0.931

=====

Record 2
# GaPdO2 GGA-PBE optimized geometry
# crystal system = trigonal
data_GaPdO2
_chemical_formula_sum 'Ga1 Pd1 O2'
_cell_length_a 3.2333
_cell_length_b 3.2333
_cell_length_c 6.1471
_cell_angle_alpha 90.00
_cell_angle_beta 90.00
_cell_angle_gamma 120.00
_symmetry_space_group_name_H-M 'P 3 m 1'
_symmetry_Int_Tables_number 156
loop_
_symmetry_equiv_pos_as_xyz
'x,y,z'
'-y,x-y,z'
'-x+y,-x,z'
'-y,-x,z'
'-x+y,y,z'
'x,x-y,z'
loop_
_atom_site_label
_atom_site_type_symbol
_atom_site_fract_x
_atom_site_fract_y
_atom_site_fract_z
Ga1 Ga 0.0000 0.0000 0.0000
Pd1 Pd 0.6667 0.3333 0.4788
O1 O 0.0000 0.0000 0.3034
O2 O 0.3333 0.6667 0.9171

=====

Record 3
# GaPdO2 GGA-PBE optimized geometry
# crystal system = orthorhombic
data_GaPdO2
_chemical_formula_sum 'Ga4 Pd4 O8'
_cell_length_a 3.364
_cell_length_b 23.490
_cell_length_c 3.060
_cell_angle_alpha 90.00
_cell_angle_beta 90.00
_cell_angle_gamma 90.00
_symmetry_space_group_name_H-M 'C m c m'
_symmetry_Int_Tables_number 63
_symmetry_space_group_name_Hall '-C 2c 2'
loop_
_atom_site_label
_atom_site_type_symbol
_atom_site_fract_x
_atom_site_fract_y
_atom_site_fract_z
Ga1 Ga 0.000 0.099 0.250
Pd1 Pd 0.000 0.313 0.250
O1 O 0.000 0.060 0.750
O2 O 0.000 0.180 0.250

=====

Record 4
# GaPd3O GGA-PBE optimized geometry
# crystal system = cubic
data_GaPd3O
_chemical_formula_sum 'Ga1 Pd3 O1'
_cell_length_a 4.636
_cell_length_b 4.636
_cell_length_c 4.636
_cell_angle_alpha 90.00
_cell_angle_beta 90.00
_cell_angle_gamma 90.00
_symmetry_space_group_name_H-M 'P m -3 m'
_symmetry_Int_Tables_number 221
_symmetry_space_group_name_Hall '-P 4 2 3'
loop_
_atom_site_label
_atom_site_type_symbol
_atom_site_fract_x
_atom_site_fract_y
_atom_site_fract_z
Ga1 Ga 0.000 0.000 0.000
Pd1 Pd 0.000 0.000 0.500
O1 O 0.500 0.500 0.500

=====

| no. | V (Å³/atom) | E_form (uncorrected) (meV per atom) |
| --- | --- | --- |
| 1 | 14.64 | -942 |
| 2 | 13.91 | -777 |
| 3 | 15.11 | -675 |
| 4 | 19.92 | 861 |